A relaxed structure of CoBi. Source: OQMD, functional PBE.

The value obtained for the volume is 19.2 Å³ per atom. For the final energy, the calculation gives -10.07 eV/f.u.

The structure belongs to space group Fm-3m (No. 225); the cell edges are 5.3585, 5.3585 and 5.3585 Å and the angles 90.00°, 90.00° and 90.00°. Symmetry generates all atoms from Co at (0.0000, 0.0000, 0.0000) and Bi at (0.0000, 0.0000, 0.5000).

A relaxed structure of Gd2YLu5. Source: OQMD, functional PBE.

As for the formation energy: 0.00 eV/atom. The value obtained for the volume is 30.6 Å³ per atom.

The structure belongs to space group Amm2 (No. 38); the cell edges are 5.5556, 7.1378 and 12.3606 Å and the angles 90.00°, 90.00° and 90.00°. Symmetry generates all atoms from Gd at (0.0000, 0.0000, 0.0000), Gd at (0.5000, 0.0000, 0.3326), Y at (0.5000, 0.0000, 0.8320), Lu at (0.0000, 0.0000, 0.5006), Lu at (0.0000, 0.2492, 0.7488) and Lu at (0.5000, 0.2489, 0.5834).

A relaxed structure of LaTb2Sn2Pb5. Source: OQMD, functional PBE.

The value obtained for the volume is 28.6 Å³ per atom. For the final energy, the calculation gives -45.33 eV/f.u.

The structure belongs to space group Cmmm (No. 65); the cell edges are 4.6775, 25.7988 and 4.7420 Å and the angles 90.00°, 90.00° and 90.00°. Symmetry generates all atoms from La at (0.0000, 0.0000, 0.0000), Tb at (0.0000, 0.1921, 0.0000), Sn at (0.0000, 0.2909, 0.5000), Pb at (0.0000, 0.1021, 0.5000), Pb at (0.0000, 0.3993, 0.0000) and Pb at (0.0000, 0.5000, 0.5000).

A relaxed structure of YTmSi2Pt4. Source: OQMD, functional PBE.

The value obtained for the volume is 17.4 Å³ per atom. For the final energy, the calculation gives -55.36 eV/f.u.

The structure belongs to space group Amm2 (No. 38); the cell edges are 7.1060, 3.8547 and 10.1611 Å and the angles 90.00°, 90.00° and 90.00°. Symmetry generates all atoms from Y at (0.0000, 0.0000, 0.0000), Tm at (0.5000, 0.0000, 0.8962), Si at (0.0000, 0.0000, 0.7175), Si at (0.5000, 0.0000, 0.1785), Pt at (0.2015, 0.0000, 0.3052) and Pt at (0.3011, 0.0000, 0.5902).

A relaxed structure of BeAlTlNi. Source: OQMD, functional PBE.

The value obtained for the volume is 14.8 Å³ per atom. For the final energy, the calculation gives -13.66 eV/f.u.

The structure belongs to space group F-43m (No. 216); the cell edges are 6.1936, 6.1936 and 6.1936 Å and the angles 90.00°, 90.00° and 90.00°. Symmetry generates all atoms from Be at (0.0000, 0.0000, 0.0000), Al at (0.0000, 0.0000, 0.5000), Tl at (0.2500, 0.2500, 0.7500) and Ni at (0.2500, 0.2500, 0.2500).

A relaxed structure of InFe2Si. Source: OQMD, functional PBE.

The value obtained for the volume is 12.8 Å³ per atom. For the final energy, the calculation gives -24.64 eV/f.u.

The structure belongs to space group Pm-3m (No. 221); the cell edges are 5.8995, 5.8995 and 5.8995 Å and the angles 90.00°, 90.00° and 90.00°. Symmetry generates all atoms from In at (0.0000, 0.0000, 0.0000), In at (0.0000, 0.0000, 0.5000), Fe at (0.2714, 0.2714, 0.2714), Si at (0.0000, 0.5000, 0.5000) and Si at (0.5000, 0.5000, 0.5000).